(1)
The following is a DFT calculation (GGA-PBE) of a relaxed structure of Fe8Re3Rh.

a b c (Å): 4.6629 4.6629 7.6123
angles (deg): 90.00 90.00 120.00
Closest atoms and distances in Å follow each position.
Fractional positions:
Fe (0.0000, 0.0000, 0.0000)  6 Fe 2.32-2.37
Fe (0.0000, 0.0000, 0.4951)  6 Fe 2.34-2.36
Fe (0.1697, 0.3394, 0.7467)  6 Fe 2.29-2.37
Fe (0.1697, 0.8303, 0.7467)  6 Fe 2.29-2.37
Fe (0.3409, 0.1705, 0.2460)  6 Fe 2.28-2.38
Fe (0.6606, 0.8303, 0.7467)  6 Fe 2.29-2.37
Fe (0.8295, 0.1705, 0.2460)  6 Fe 2.28-2.38
Fe (0.8295, 0.6591, 0.2460)  6 Fe 2.28-2.38
Re (0.3333, 0.6667, 0.0594)  12 Fe 2.72-2.73, 4 Re 2.81-2.86
Re (0.3333, 0.6667, 0.4280)  12 Fe 2.71-2.76, 1 Re 2.81, 3 Rh 2.87
Re (0.6667, 0.3333, 0.9344)  12 Fe 2.71-2.74, 3 Re 2.86, 1 Rh 2.86
Rh (0.6667, 0.3333, 0.5580)  12 Fe 2.72-2.74, 4 Re 2.86-2.87

Computed properties:
Total energy (eV/cell): -112.224
Space group: P3m1, No. 156
Calculated formation energy (kcal/mol of atoms): 0.33

***

(2)
The following is a DFT calculation (GGA-PBE) of a relaxed structure of ZnTc2Se.

a b c (Å): 8.3132 8.3132 8.3132
angles (deg): 20.32 20.32 20.32
Closest atoms and distances in Å follow each position.
Fractional positions:
Zn (0.0000, 0.0000, 0.0000)  6 Tc 2.74, 6 Zn 2.93
Tc (0.2450, 0.2450, 0.2450)  3 Se 2.55, 3 Zn 2.74
Tc (0.7550, 0.7550, 0.7550)  3 Se 2.55, 3 Zn 2.74
Se (0.5000, 0.5000, 0.5000)  6 Tc 2.55

Computed properties:
Total energy (eV/cell): -24.462
Formation energy without anion corrections (eV/f.u.): 1.03
Space group: R-3m, No. 166

***

(3)
The following is a DFT calculation (GGA-PBE) of a relaxed structure of Nd4Ga3Pd.

a b c (Å): 4.3093 4.4041 10.9208
angles (deg): 90.00 90.00 90.00
Closest atoms and distances in Å follow each position.
Fractional positions:
Nd (0.0000, 0.0000, 0.0000)  1 Pd 3.02, 6 Ga 3.19-3.27
Nd (0.0000, 0.5000, 0.4863)  5 Ga 3.16-3.19, 2 Pd 3.18
Nd (0.5000, 0.0000, 0.7073)  7 Ga 3.12-3.24
Nd (0.5000, 0.5000, 0.2102)  3 Ga 3.11-3.19, 4 Pd 3.16
Ga (0.0000, 0.5000, 0.7786)  2 Ga 2.68
Ga (0.5000, 0.0000, 0.4216)  2 Pd 2.67
Ga (0.5000, 0.5000, 0.9250)  2 Ga 2.68
Pd (0.0000, 0.0000, 0.2766)  2 Ga 2.67

Computed properties:
Total energy (eV/cell): -38.247
Space group: Pmm2, No. 25
Calculated formation energy (kcal/mol of atoms): -14.13

***

(4)
The following is a DFT calculation (GGA-PBE) of a relaxed structure of Mn2CrSi.

a b c (Å): 2.5253 3.9121 4.6171
angles (deg): 90.00 99.27 90.00
Closest atoms and distances in Å follow each position.
Fractional positions:
Mn (0.2374, 0.0000, 0.2465)  4 Mn 2.40-2.53, 2 Cr 2.40, 2 Si 2.41
Mn (0.7626, 0.0000, 0.7535)  4 Mn 2.40-2.53, 2 Cr 2.40, 2 Si 2.41
Cr (0.0000, 0.5000, 0.5000)  4 Mn 2.40, 2 Si 2.45, 2 Cr 2.53
Si (0.5000, 0.5000, 0.0000)  4 Mn 2.41, 2 Cr 2.45, 2 Si 2.53

Computed properties:
Total energy (eV/cell): -33.837
Formation energy without anion corrections (eV/f.u.): -0.45
Space group: P2/m, No. 10

***

(5)
The following is a DFT calculation (GGA-PBE) of a relaxed structure of RbAlSn3.

a b c (Å): 7.9842 7.9842 8.2832
angles (deg): 105.70 105.70 49.22
Closest atoms and distances in Å follow each position.
Fractional positions:
Rb (0.2153, 0.2153, 0.1870)  9 Sn 3.77-4.15, 1 Al 4.17
Rb (0.7847, 0.7847, 0.8130)  9 Sn 3.77-4.15, 1 Al 4.17
Al (0.5000, 0.5000, 0.0000)  6 Sn 2.82-2.85
Al (0.5000, 0.5000, 0.5000)  6 Sn 2.79-2.84
Sn (0.1876, 0.7286, 0.2309)  2 Al 2.79-2.82, 2 Sn 3.05-3.11
Sn (0.2714, 0.8124, 0.7691)  2 Al 2.79-2.82, 2 Sn 3.05-3.11
Sn (0.3592, 0.3592, 0.6759)  2 Al 2.84-2.85, 2 Sn 3.11
Sn (0.6408, 0.6408, 0.3241)  2 Al 2.84-2.85, 2 Sn 3.11
Sn (0.7286, 0.1876, 0.2309)  2 Al 2.79-2.82, 2 Sn 3.05-3.11
Sn (0.8124, 0.2714, 0.7691)  2 Al 2.79-2.82, 2 Sn 3.05-3.11

Computed properties:
Total energy (eV/cell): -33.054
Space group: C2/m, No. 12
Calculated formation energy (kcal/mol of atoms): 0.88

***

(6)
The following is a DFT calculation (GGA-PBE) of a relaxed structure of La2TbPm4Sm.

a b c (Å): 5.1715 5.1809 10.3814
angles (deg): 90.00 90.14 90.00
Closest atoms and distances in Å follow each position.
Fractional positions:
La (0.0000, 0.0000, 0.0000)  4 Sm 3.66, 8 Pm 3.67
La (0.5000, 0.5000, 0.5000)  8 Pm 3.65-3.66, 4 Tb 3.66
Tb (0.0000, 0.0000, 0.5000)  8 Pm 3.65-3.66, 4 La 3.66
Pm (0.9999, 0.5000, 0.2507)  4 La 3.65-3.67, 4 Pm 3.66, 2 Tb 3.66, 2 Sm 3.66-3.67
Pm (0.0001, 0.5000, 0.7493)  4 La 3.65-3.67, 4 Pm 3.66, 2 Tb 3.66, 2 Sm 3.66-3.67
Pm (0.4994, 0.0000, 0.7489)  2 Tb 3.65-3.66, 4 Pm 3.66, 4 La 3.66-3.67, 2 Sm 3.67
Pm (0.5006, 0.0000, 0.2511)  2 Tb 3.65-3.66, 4 Pm 3.66, 4 La 3.66-3.67, 2 Sm 3.67
Sm (0.5000, 0.5000, 0.0000)  4 La 3.66, 8 Pm 3.66-3.67

Computed properties:
Total energy (eV/cell): -38.039
Space group: P2/m, No. 10
Calculated formation energy (kcal/mol of atoms): 0.48